No. 1
The following is a PBE calculation of a relaxed LaNdPbI crystal, from Alexandria via LeMat-Bulk.

Cell lengths 5.633, 5.633, 5.633 Å; angles 60.00, 60.00, 60.00 degrees
Fractional coordinates of all 4 atoms:
La 0.000 0.000 0.000
Nd 0.500 0.500 0.500
Pb 0.250 0.250 0.250
I 0.750 0.750 0.750

Output
Space group: F-43m
E_form (uncorrected), meV/atom: -717



No. 2
The following is a PBE calculation of a relaxed SiTeH3 crystal, from Alexandria via LeMat-Bulk.

Cell lengths 4.798, 5.781, 6.895 Å; angles 90.64, 91.16, 90.11 degrees
Fractional coordinates of all 10 atoms:
Si 0.000 0.000 0.000
Si 0.405 0.490 0.399
Te 0.628 0.490 0.733
Te 0.779 0.989 0.665
H 0.124 0.598 0.406
H 0.292 0.087 0.991
H 0.383 0.244 0.333
H 0.585 0.623 0.265
H 0.833 0.156 0.127
H 0.995 0.759 0.075

Output
Energy above the most stable polymorph in this dataset, meV per atom: 0
Space group: P1



No. 3
The following is a PBE calculation of a relaxed NaRu2Se2 crystal, from Alexandria via LeMat-Bulk.

Cell lengths 6.682, 6.682, 6.682 Å; angles 144.35, 144.35, 51.30 degrees
Fractional coordinates of all 5 atoms:
Na 0.000 0.000 0.000
Ru 0.250 0.750 0.500
Ru 0.750 0.250 0.500
Se 0.361 0.361 0.000
Se 0.639 0.639 0.000

Output
Space group: I4/mmm
E_form (uncorrected), meV/atom: -351



no.,final energy (eV for the cell shown),M_tot (μB per formula unit)
1,-17.820,0.0
2,-37.233,0.0
3,-28.594,0.0